(1)
## YMgTe2 (PBE)

Data for crystalline YMgTe2 at its relaxed geometry.

Geometry as CIF:
```
data_YMgTe2
_chemical_formula_sum 'Y3 Mg3 Te6'
_cell_length_a 4.1982
_cell_length_b 4.1982
_cell_length_c 22.2859
_cell_angle_alpha 90.00
_cell_angle_beta 90.00
_cell_angle_gamma 120.00
_symmetry_space_group_name_H-M 'R 3 m'
_symmetry_Int_Tables_number 160
_symmetry_space_group_name_Hall 'R 3 -2"'
loop_
_atom_site_label
_atom_site_type_symbol
_atom_site_fract_x
_atom_site_fract_y
_atom_site_fract_z
Y1 Y 0.0000 0.0000 0.0000
Mg1 Mg 0.0000 0.0000 0.1654
Te1 Te 0.0000 0.0000 0.5753
Te2 Te 0.0000 0.0000 0.7543
```

Computed properties:
E above lowest polymorph (eV/atom): 0.022
M_tot (μB/f.u.): 0.73
ΔE_f (raw) (eV/atom): -1.050

=====

(2)
## SrAcCuSe3 (PBE)

Data for crystalline SrAcCuSe3 at its relaxed geometry.

Geometry as CIF:
```
data_SrAcCuSe3
_chemical_formula_sum 'Sr2 Ac2 Cu2 Se6'
_cell_length_a 9.086
_cell_length_b 4.256
_cell_length_c 9.226
_cell_angle_alpha 90.00
_cell_angle_beta 99.69
_cell_angle_gamma 90.00
_symmetry_space_group_name_H-M 'P 1 21/m 1'
_symmetry_Int_Tables_number 11
_symmetry_space_group_name_Hall '-P 2yb'
loop_
_atom_site_label
_atom_site_type_symbol
_atom_site_fract_x
_atom_site_fract_y
_atom_site_fract_z
Sr1 Sr 0.166 0.250 0.227
Ac1 Ac 0.335 0.750 0.817
Cu1 Cu 0.078 0.250 0.579
Se1 Se 0.099 0.250 0.857
Se2 Se 0.200 0.750 0.492
Se3 Se 0.413 0.750 0.164
```

Computed properties:
M_tot (μB/f.u.): 0.00
ΔE_f (raw) (eV/atom): -1.548

=====

(3)
## KZn2Re (PBE)

Data for crystalline KZn2Re at its relaxed geometry.

Geometry as CIF:
```
data_KZn2Re
_chemical_formula_sum 'K1 Zn2 Re1'
_cell_length_a 5.060
_cell_length_b 5.060
_cell_length_c 2.738
_cell_angle_alpha 90.00
_cell_angle_beta 90.00
_cell_angle_gamma 90.00
_symmetry_space_group_name_H-M 'P 4/m m m'
_symmetry_Int_Tables_number 123
_symmetry_space_group_name_Hall '-P 4 2'
loop_
_atom_site_label
_atom_site_type_symbol
_atom_site_fract_x
_atom_site_fract_y
_atom_site_fract_z
K1 K 0.000 0.000 0.000
Zn1 Zn 0.000 0.500 0.500
Re1 Re 0.500 0.500 0.000
```

Computed properties:
E above lowest polymorph (eV/atom): 0.181
M_tot (μB/f.u.): 0.00